Record 1
This record from the Alexandria database describes a crystal of CaCd2Rh relaxed with PBEsol. The functional is SCAN.

Values from the calculation:
Raw total energy = -26.3718 eV/atom
Formation energy = -306 meV/atom

abc: 4.179 4.179 5.278
angles: 113.32 113.32 90.00
Positions (direct):
Ca 0.000 0.000 0.000
Rh 0.500 0.500 0.000
Cd 0.750 0.250 0.500
Cd 0.250 0.750 0.500



Record 2
This record from the Alexandria database describes a crystal of CdCo2Ru relaxed with PBEsol. The functional is SCAN.

Values from the calculation:
Raw total energy = -24.5735 eV/atom
Formation energy = 389 meV/atom

abc: 2.667 4.538 4.726
angles: 111.11 90.00 90.00
Site moments in Bohr magnetons follow the coordinates.
Positions (direct):
Ru 0.500 0.500 0.000  1.13
Co 0.000 0.000 0.000  1.89
Co 0.500 0.000 0.500  1.91
Cd 0.000 0.500 0.500  -0.03



Record 3
This record from the Alexandria database describes a crystal of Tl2SiW relaxed with PBEsol. The functional is SCAN.

Values from the calculation:
Raw total energy = -55.5384 eV/atom
Uncorrected formation energy = 567 meV/atom

abc: 3.236 3.236 8.033
angles: 90.00 90.00 90.00
Positions (direct):
Si 0.500 0.500 0.682
Tl 0.000 0.000 0.959
Tl 0.500 0.500 0.302
W 0.000 0.000 0.557